V2IrS2 | PBE | relaxed

```
data_V2IrS2
_chemical_formula_sum 'V4 Ir2 S4'
_cell_length_a 6.6963
_cell_length_b 6.6963
_cell_length_c 2.9311
_cell_angle_alpha 90.00
_cell_angle_beta 90.00
_cell_angle_gamma 90.00
_space_group_name_H-M_alt 'P 4/m b m'
_space_group_IT_number 127
_space_group_name_Hall '-P 4 2ab'
loop_
_atom_site_label
_atom_site_type_symbol
_atom_site_fract_x
_atom_site_fract_y
_atom_site_fract_z
V1 V 0.1474 0.3526 0.0000
Ir1 Ir 0.0000 0.0000 0.5000
S1 S 0.1536 0.6536 0.5000
```

The magnetic moment comes out at 0.24 μB per atom. The calculation puts the formation energy from raw total energies at -0.29 eV/atom. The offset from the most stable computed form comes out at 0.00 eV per formula unit. For the density of states at the Fermi level, the calculation gives 0.865 states/eV/atom.